Record 1
A geometry-optimized Cs2RbInSb2 structure. Source: the Alexandria database, functional PBE.

The structure in POSCAR format:
```
Cs2RbInSb2
1.0
-4.355 8.387 3.877
4.355 -8.387 3.877
4.355 8.387 -3.877
Cs Rb In Sb
4 2 2 4
direct
0.173 0.216 0.389
0.327 0.716 0.042
0.673 0.284 0.958
0.827 0.784 0.611
0.250 0.750 0.500
0.750 0.250 0.500
0.250 0.250 0.000
0.750 0.750 0.000
0.092 0.812 0.904
0.408 0.312 0.720
0.592 0.688 0.280
0.908 0.188 0.096
```

Results
* volume: 47.204 A^3/atom
* uncorrected formation energy: -0.44 eV per atom
* magnetization: 0.0000 μB per atom
* space group: Ibam, No. 72
* theoretical density: 4161 kg/m³

Record 2
A geometry-optimized CsRbIn4Sn6 structure. Source: the Alexandria database, functional PBE.

The structure in POSCAR format:
```
CsRbIn4Sn6
1.0
6.651 0.000 0.000
-3.326 5.760 0.000
0.000 0.000 11.074
Cs Rb In Sn
1 1 4 6
direct
0.000 0.000 0.000
0.000 0.000 0.500
0.333 0.667 0.368
0.333 0.667 0.632
0.667 0.333 0.368
0.667 0.333 0.632
0.000 0.500 0.148
0.000 0.500 0.852
0.500 0.000 0.148
0.500 0.000 0.852
0.500 0.500 0.148
0.500 0.500 0.852
```

Results
* volume: 35.356 A^3/atom
* ΔE_f: 0.028 eV per atom
* magnetization: 0.0000 μB per atom
* space group: P6/mmm, No. 191
* theoretical density: 5440 kg/m³

Record 3
A geometry-optimized Cs2Rb4InSn2 structure. Source: the Alexandria database, functional PBE.

The structure in POSCAR format:
```
Cs2Rb4InSn2
1.0
8.315 -4.596 0.000
8.315 4.596 0.000
-2.151 0.000 6.231
Cs Rb In Sn
2 4 1 2
direct
0.143 0.143 0.186
0.857 0.857 0.814
0.145 0.590 0.329
0.410 0.855 0.671
0.590 0.145 0.329
0.855 0.410 0.671
0.500 0.500 0.000
0.324 0.324 0.793
0.676 0.676 0.207
```

Results
* volume: 52.912 A^3/atom
* ΔE_f: -0.093 eV per atom
* magnetization: 0.1010 μB per atom
* space group: C2/m, No. 12
* theoretical density: 3347 kg/m³

Record 4
A geometry-optimized Cs2RbIn2Te4 structure. Source: the Alexandria database, functional PBE.

The structure in POSCAR format:
```
Cs2RbIn2Te4
1.0
9.632 -2.589 0.000
9.632 2.589 0.000
-3.239 0.000 8.393
Cs Rb In Te
2 1 2 4
direct
0.123 0.123 0.038
0.877 0.877 0.962
0.000 0.000 0.500
0.327 0.327 0.514
0.673 0.673 0.486
0.211 0.211 0.665
0.465 0.465 0.761
0.535 0.535 0.239
0.789 0.789 0.335
```

Results
* volume: 46.504 A^3/atom
* uncorrected formation energy: -0.76 eV per atom
* magnetization: 0.0000 μB per atom
* space group: C2/m, No. 12
* theoretical density: 4330 kg/m³

Copy entry 4 word for word.
A geometry-optimized Cs2RbIn2Te4 structure. Source: the Alexandria database, functional PBE.

The structure in POSCAR format:
```
Cs2RbIn2Te4
1.0
9.632 -2.589 0.000
9.632 2.589 0.000
-3.239 0.000 8.393
Cs Rb In Te
2 1 2 4
direct
0.123 0.123 0.038
0.877 0.877 0.962
0.000 0.000 0.500
0.327 0.327 0.514
0.673 0.673 0.486
0.211 0.211 0.665
0.465 0.465 0.761
0.535 0.535 0.239
0.789 0.789 0.335
```

Results
* volume: 46.504 A^3/atom
* uncorrected formation energy: -0.76 eV per atom
* magnetization: 0.0000 μB per atom
* space group: C2/m, No. 12
* theoretical density: 4330 kg/m³

Look up the magnetization of the first one.
0.0000 μB per atom